1.
Material: OsPt2Rh
Method: DFT, meta-GGA SCAN
State: PBEsol geometry

Computed properties:
Energy above the lowest structure with this stoichiometry: 0 meV per atom
Theoretical density: 19.8 g cm⁻³
Magnetization: 0.00 μB per formula unit
Symmetry: P4mm (99)
DOS at the Fermi energy: 2.901 states/eV/f.u.
Calculated formation energy: -0.008 eV per atom

Lattice parameters (Å, degrees): 2.7079 2.7079 7.8040 90.00 90.00 90.00
Sites, in units of the cell vectors:
Os (0.0000, 0.0000, 0.0000)
Pt (0.0000, 0.0000, 0.5131)
Pt (0.5000, 0.5000, 0.2479)
Rh (0.5000, 0.5000, 0.7704)

---

2.
Material: OsPt2Rh
Method: DFT, meta-GGA SCAN
State: PBEsol geometry

Computed properties:
Energy above the lowest structure with this stoichiometry: 430 meV per atom
Theoretical density: 19.4 g cm⁻³
Magnetization: 0.00 μB per formula unit
Symmetry: Fm-3m (225)
DOS at the Fermi energy: 4.213 states/eV/f.u.
Calculated formation energy: 0.422 eV per atom

Lattice parameters (Å, degrees): 4.3560 4.3560 4.3560 60.00 60.00 60.00
Sites, in units of the cell vectors:
Os (0.0000, 0.0000, 0.0000)
Pt (0.2500, 0.2500, 0.2500)
Pt (0.7500, 0.7500, 0.7500)
Rh (0.5000, 0.5000, 0.5000)

---

3.
Material: OsPtRh
Method: DFT, meta-GGA SCAN
State: PBEsol geometry

Computed properties:
Energy above the lowest structure with this stoichiometry: 0 meV per atom
Theoretical density: 19.1 g cm⁻³
Magnetization: 0.00 μB per formula unit
Symmetry: I4mm (107)
DOS at the Fermi energy: 2.231 states/eV/f.u.
Calculated formation energy: 0.010 eV per atom

Lattice parameters (Å, degrees): 6.1242 6.1242 6.1242 154.51 154.51 36.36
Sites, in units of the cell vectors:
Os (0.0000, 0.0000, 0.0000)
Pt (0.6683, 0.6683, 0.0000)
Rh (0.3460, 0.3460, 0.0000)

---

4.
Material: OsPtRh2
Method: DFT, meta-GGA SCAN
State: PBEsol geometry

Computed properties:
Energy above the lowest structure with this stoichiometry: 54 meV per atom
Theoretical density: 17.6 g cm⁻³
Magnetization: 0.00 μB per formula unit
Symmetry: C2/m (12)
DOS at the Fermi energy: 3.324 states/eV/f.u.
Calculated formation energy: 0.009 eV per atom

Lattice parameters (Å, degrees): 4.6803 4.6803 4.6923 99.34 99.34 33.33
Sites, in units of the cell vectors:
Os (0.0000, 0.0000, 0.0000)
Pt (0.5000, 0.5000, 0.5000)
Rh (0.2535, 0.2535, 0.7588)
Rh (0.7465, 0.7465, 0.2412)

---

5.
Material: OsPt2Rh
Method: DFT, meta-GGA SCAN
State: PBEsol geometry

Computed properties:
Energy above the lowest structure with this stoichiometry: 44 meV per atom
Theoretical density: 19.9 g cm⁻³
Magnetization: 0.00 μB per formula unit
Symmetry: Cm (8)
DOS at the Fermi energy: 3.335 states/eV/f.u.
Calculated formation energy: 0.036 eV per atom

Lattice parameters (Å, degrees): 4.7118 4.7118 4.7298 99.33 99.33 33.50
Sites, in units of the cell vectors:
Os (0.0000, 0.0000, 0.0000)
Pt (0.2511, 0.2511, 0.7498)
Pt (0.4966, 0.4966, 0.4918)
Rh (0.7434, 0.7434, 0.2328)

---

6.
Material: OsPtRh
Method: DFT, meta-GGA SCAN
State: PBEsol geometry

Computed properties:
Energy above the lowest structure with this stoichiometry: 649 meV per atom
Theoretical density: 15.9 g cm⁻³
Magnetization: 0.00 μB per formula unit
Symmetry: F-43m (216)
DOS at the Fermi energy: 5.009 states/eV/f.u.
Calculated formation energy: 0.659 eV per atom

Lattice parameters (Å, degrees): 4.1601 4.1601 4.1601 60.00 60.00 60.00
Sites, in units of the cell vectors:
Os (0.0000, 0.0000, 0.0000)
Pt (0.7500, 0.7500, 0.7500)
Rh (0.2500, 0.2500, 0.2500)